*one*
{
  "formula": "BaSc3Mo",
  "functional": "PBE",
  "state": "optimized geometry",
  "lattice_angstrom": [[5.123, 0.000, 0.000], [0.000, 5.123, 0.000], [0.000, 0.000, 5.123]],
  "species": ["Sc", "Sc", "Sc", "Ba", "Mo"],
  "fractional_positions": [[0.000, 0.000, 0.500], [0.500, 0.000, 0.000], [0.000, 0.500, 0.000], [0.000, 0.000, 0.000], [0.500, 0.500, 0.500]],
  "vol_a3_per_cell": 134.43,
  "space_group": "Pm-3m (221)"
}

*two*
{
  "formula": "BaSc3Mo",
  "functional": "PBE",
  "state": "optimized geometry",
  "lattice_angstrom": [[-1.256, 3.385, 3.849], [-5.076, -0.274, -1.416], [-0.709, -4.039, 3.321]],
  "species": ["Ba", "Sc", "Sc", "Sc", "Mo"],
  "fractional_positions": [[0.500, 0.500, 0.500], [0.000, 0.500, 0.000], [0.500, 0.000, 0.000], [0.000, 0.000, 0.500], [0.000, 0.000, 0.000]],
  "vol_a3_per_cell": 146.96,
  "space_group": "Pm-3m (221)"
}

Top of the stability list: *two*, leading by 1557 meV/atom.

*one*
{
  "formula": "BaMo3Se",
  "functional": "PBE",
  "state": "optimized geometry",
  "lattice_angstrom": [[4.835, 0.000, 0.000], [0.000, 4.835, 0.000], [0.000, 0.000, 4.835]],
  "species": ["Mo", "Mo", "Mo", "Ba", "Se"],
  "fractional_positions": [[0.500, 0.000, 0.000], [0.000, 0.500, 0.000], [0.000, 0.000, 0.500], [0.500, 0.500, 0.500], [0.000, 0.000, 0.000]],
  "vol_a3_per_cell": 113.02,
  "space_group": "Pm-3m (221)"
}

*two*
{
  "formula": "BaMo3Se",
  "functional": "PBE",
  "state": "optimized geometry",
  "lattice_angstrom": [[-3.699, -3.074, -1.443], [-0.350, -1.777, 4.683], [-3.377, 3.551, 1.095]],
  "species": ["Ba", "Mo", "Mo", "Mo", "Se"],
  "fractional_positions": [[0.000, 0.000, 0.000], [0.000, 0.000, 0.500], [0.500, 0.000, 0.000], [0.000, 0.500, 0.000], [0.500, 0.500, 0.500]],
  "vol_a3_per_cell": 126.59,
  "space_group": "Pm-3m (221)"
}

Top of the stability list: *one*, leading by 2015 meV/atom.

*one*
{
  "formula": "Ba2SrMo",
  "functional": "PBE",
  "state": "optimized geometry",
  "lattice_angstrom": [[12.543, -0.025, -0.015], [11.886, 4.008, -0.015], [11.886, 1.938, 3.509]],
  "species": ["Sr", "Mo", "Ba", "Ba"],
  "fractional_positions": [[0.750, 0.750, 0.750], [0.250, 0.250, 0.250], [0.520, 0.520, 0.520], [0.980, 0.980, 0.980]],
  "vol_a3_per_cell": 178.16,
  "space_group": "R-3m (166)"
}

*two*
{
  "formula": "Ba2SrMo",
  "functional": "PBE",
  "state": "optimized geometry",
  "lattice_angstrom": [[-4.969, -2.153, 1.468], [0.281, -3.585, -4.307], [2.475, -3.574, 3.136]],
  "species": ["Sr", "Ba", "Ba", "Mo"],
  "fractional_positions": [[0.000, 0.500, 0.500], [0.500, 0.500, 0.000], [0.000, 0.000, 0.000], [0.500, 0.000, 0.500]],
  "vol_a3_per_cell": 168.77,
  "space_group": "P4/mmm (123)"
}

Top of the stability list: *one*, leading by 19 meV/atom.

*one*
{
  "formula": "Ba2SrMo",
  "functional": "PBE",
  "state": "optimized geometry",
  "lattice_angstrom": [[7.412, 0.015, 0.048], [-3.258, 6.264, -0.007], [0.896, 1.171, 3.667]],
  "species": ["Mo", "Ba", "Ba", "Sr"],
  "fractional_positions": [[0.000, 0.500, 0.500], [0.000, 0.000, 0.000], [0.500, 0.000, 0.500], [0.500, 0.500, 0.000]],
  "vol_a3_per_cell": 170.04,
  "space_group": "C2/m (12)"
}

*two*
{
  "formula": "Ba2SrMo",
  "functional": "PBE",
  "state": "optimized geometry",
  "lattice_angstrom": [[-3.950, -0.404, -0.774], [0.873, -1.827, -3.502], [0.874, -11.250, 1.414]],
  "species": ["Ba", "Ba", "Mo", "Sr"],
  "fractional_positions": [[0.000, 0.005, 0.994], [0.500, 0.181, 0.319], [0.000, 0.494, 0.506], [0.500, 0.820, 0.680]],
  "vol_a3_per_cell": 173.95,
  "space_group": "P4mm (99)"
}

Top of the stability list: *two*, leading by 219 meV/atom.

*one*
{
  "formula": "Ba2SrMo",
  "functional": "PBE",
  "state": "optimized geometry",
  "lattice_angstrom": [[6.145, 0.000, 0.000], [3.072, 5.322, 0.000], [3.072, 1.774, 5.017]],
  "species": ["Ba", "Ba", "Mo", "Sr"],
  "fractional_positions": [[0.250, 0.250, 0.250], [0.750, 0.750, 0.750], [0.000, 0.000, 0.000], [0.500, 0.500, 0.500]],
  "vol_a3_per_cell": 164.06,
  "space_group": "Fm-3m (225)"
}

*two*
{
  "formula": "Ba2SrMo",
  "functional": "PBE",
  "state": "optimized geometry",
  "lattice_angstrom": [[7.682, -0.060, -0.013], [3.994, 6.562, 0.013], [-5.054, -4.659, 3.431]],
  "species": ["Mo", "Ba", "Ba", "Sr"],
  "fractional_positions": [[0.498, 0.498, 0.000], [0.694, 0.194, 0.500], [0.000, 0.000, 0.000], [0.308, 0.808, 0.500]],
  "vol_a3_per_cell": 174.04,
  "space_group": "Imm2 (44)"
}

*three*
{
  "formula": "Ba2SrMo",
  "functional": "PBE",
  "state": "optimized geometry",
  "lattice_angstrom": [[10.090, 0.000, 0.000], [0.000, 10.090, 0.000], [5.045, 5.045, 3.576]],
  "species": ["Sr", "Sr", "Ba", "Ba", "Ba", "Ba", "Mo", "Mo"],
  "fractional_positions": [[0.250, 0.750, 0.500], [0.500, 0.500, 0.000], [0.695, 0.125, 0.250], [0.055, 0.625, 0.250], [0.875, 0.945, 0.750], [0.375, 0.305, 0.750], [0.000, 0.000, 0.000], [0.750, 0.250, 0.500]],
  "vol_a3_per_cell": 364.03,
  "space_group": "I-42d (122)"
}

Top of the stability list: *two*, leading by 83 meV/atom.

*one*
{
  "formula": "Ba2SrMo",
  "functional": "PBE",
  "state": "optimized geometry",
  "lattice_angstrom": [[4.029, 0.000, 0.000], [0.000, 4.054, -0.018], [0.000, 4.105, 10.575]],
  "species": ["Ba", "Ba", "Mo", "Sr"],
  "fractional_positions": [[0.000, 0.563, 0.437], [0.000, 0.937, 0.063], [0.500, 0.250, 0.250], [0.500, 0.750, 0.750]],
  "vol_a3_per_cell": 173.03,
  "space_group": "Pmmm (47)"
}

*two*
{
  "formula": "Ba2SrMo",
  "functional": "PBE",
  "state": "optimized geometry",
  "lattice_angstrom": [[7.695, 0.033, 0.007], [4.060, 6.536, -0.007], [-5.121, -4.637, 3.388]],
  "species": ["Ba", "Ba", "Sr", "Mo"],
  "fractional_positions": [[0.558, 0.558, 0.000], [0.942, 0.942, 0.000], [0.250, 0.750, 0.500], [0.750, 0.250, 0.500]],
  "vol_a3_per_cell": 169.78,
  "space_group": "Immm (71)"
}

*three*
{
  "formula": "Ba2SrMo",
  "functional": "PBE",
  "state": "optimized geometry",
  "lattice_angstrom": [[-0.637, -2.649, 5.475], [3.484, -4.671, -1.855], [2.101, 5.729, -0.399]],
  "species": ["Ba", "Ba", "Mo", "Sr"],
  "fractional_positions": [[0.250, 0.750, 0.500], [0.000, 0.000, 0.000], [0.500, 0.500, 0.000], [0.750, 0.250, 0.500]],
  "vol_a3_per_cell": 161.69,
  "space_group": "F-43m (216)"
}

Top of the stability list: *one*, leading by 37 meV/atom.

*one*
{
  "formula": "Ba2SrMo2",
  "functional": "PBE",
  "state": "optimized geometry",
  "lattice_angstrom": [[9.747, 0.000, 0.000], [0.000, 9.747, 0.000], [0.000, 0.000, 4.023]],
  "species": ["Mo", "Mo", "Mo", "Mo", "Sr", "Sr", "Ba", "Ba", "Ba", "Ba"],
  "fractional_positions": [[0.576, 0.076, 0.000], [0.424, 0.924, 0.000], [0.076, 0.424, 0.000], [0.924, 0.576, 0.000], [0.000, 0.000, 0.000], [0.500, 0.500, 0.000], [0.302, 0.198, 0.500], [0.802, 0.302, 0.500], [0.198, 0.698, 0.500], [0.698, 0.802, 0.500]],
  "vol_a3_per_cell": 382.13,
  "space_group": "P4/mbm (127)"
}

*two*
{
  "formula": "Ba2SrMo2",
  "functional": "PBE",
  "state": "optimized geometry",
  "lattice_angstrom": [[-1.519, 4.018, 2.979], [-4.874, -1.890, 0.065], [-1.624, -2.782, 7.511]],
  "species": ["Mo", "Mo", "Ba", "Ba", "Sr"],
  "fractional_positions": [[0.430, 0.430, 0.140], [0.570, 0.570, 0.860], [0.750, 0.250, 0.500], [0.250, 0.750, 0.500], [0.000, 0.000, 0.000]],
  "vol_a3_per_cell": 199.22,
  "space_group": "I4/mmm (139)"
}

Top of the stability list: *one*, leading by 118 meV/atom.

*one*
{
  "formula": "BaSrMo3",
  "functional": "PBE",
  "state": "optimized geometry",
  "lattice_angstrom": [[-3.515, 1.441, 3.515], [-3.431, -3.260, -2.095], [1.631, -3.753, 3.169]],
  "species": ["Ba", "Mo", "Mo", "Mo", "Sr"],
  "fractional_positions": [[0.000, 0.000, 0.000], [0.000, 0.000, 0.500], [0.000, 0.500, 0.000], [0.500, 0.000, 0.000], [0.500, 0.500, 0.500]],
  "vol_a3_per_cell": 138.65,
  "space_group": "Pm-3m (221)"
}

*two*
{
  "formula": "BaSrMo3",
  "functional": "PBE",
  "state": "optimized geometry",
  "lattice_angstrom": [[5.172, 0.000, 0.000], [0.000, 5.172, 0.000], [0.000, 0.000, 5.172]],
  "species": ["Mo", "Mo", "Mo", "Ba", "Sr"],
  "fractional_positions": [[0.500, 0.000, 0.000], [0.000, 0.000, 0.500], [0.000, 0.500, 0.000], [0.500, 0.500, 0.500], [0.000, 0.000, 0.000]],
  "vol_a3_per_cell": 138.33,
  "space_group": "Pm-3m (221)"
}

Top of the stability list: *one*, leading by 95 meV/atom.

*one*
{
  "formula": "BaSrMo",
  "functional": "PBE",
  "state": "optimized geometry",
  "lattice_angstrom": [[5.718, 0.000, 0.000], [2.859, 4.952, 0.000], [2.859, 1.651, 4.669]],
  "species": ["Sr", "Ba", "Mo"],
  "fractional_positions": [[0.000, 0.000, 0.000], [0.500, 0.500, 0.500], [0.750, 0.750, 0.750]],
  "vol_a3_per_cell": 132.18,
  "space_group": "F-43m (216)"
}

*two*
{
  "formula": "BaSrMo",
  "functional": "PBE",
  "state": "optimized geometry",
  "lattice_angstrom": [[-4.757, 1.963, -2.403], [-0.294, -3.183, 4.694], [0.215, 3.170, 2.163]],
  "species": ["Ba", "Mo", "Sr"],
  "fractional_positions": [[0.000, 0.000, 0.039], [0.333, 0.667, 0.331], [0.667, 0.333, 0.630]],
  "vol_a3_per_cell": 107.36,
  "space_group": "P3m1 (156)"
}

Top of the stability list: *two*, leading by 47 meV/atom.

*one*
{
  "formula": "BaTaMo3",
  "functional": "PBE",
  "state": "optimized geometry",
  "lattice_angstrom": [[4.989, 0.000, 0.000], [0.000, 4.989, 0.000], [0.000, 0.000, 4.989]],
  "species": ["Ta", "Mo", "Mo", "Mo", "Ba"],
  "fractional_positions": [[0.000, 0.000, 0.000], [0.500, 0.000, 0.000], [0.000, 0.000, 0.500], [0.000, 0.500, 0.000], [0.500, 0.500, 0.500]],
  "vol_a3_per_cell": 124.19,
  "space_group": "Pm-3m (221)"
}

*two*
{
  "formula": "BaTaMo3",
  "functional": "PBE",
  "state": "optimized geometry",
  "lattice_angstrom": [[-2.101, -4.204, -1.276], [3.438, -2.454, 2.424], [-2.736, 0.145, 4.027]],
  "species": ["Mo", "Mo", "Mo", "Ba", "Ta"],
  "fractional_positions": [[0.000, 0.500, 0.000], [0.000, 0.000, 0.500], [0.500, 0.000, 0.000], [0.000, 0.000, 0.000], [0.500, 0.500, 0.500]],
  "vol_a3_per_cell": 115.52,
  "space_group": "Pm-3m (221)"
}

Top of the stability list: *one*, leading by 1585 meV/atom.

*one*
{
  "formula": "BaTaMo2",
  "functional": "PBE",
  "state": "optimized geometry",
  "lattice_angstrom": [[4.845, 0.000, 0.000], [2.422, 4.196, 0.000], [2.422, 1.399, 3.956]],
  "species": ["Mo", "Mo", "Ba", "Ta"],
  "fractional_positions": [[0.250, 0.250, 0.250], [0.000, 0.000, 0.000], [0.500, 0.500, 0.500], [0.750, 0.750, 0.750]],
  "vol_a3_per_cell": 80.41,
  "space_group": "F-43m (216)"
}

*two*
{
  "formula": "BaTaMo2",
  "functional": "PBE",
  "state": "optimized geometry",
  "lattice_angstrom": [[10.334, 0.041, 0.024], [9.845, 3.141, 0.024], [9.845, 1.553, 2.730]],
  "species": ["Ba", "Mo", "Mo", "Ta"],
  "fractional_positions": [[0.747, 0.747, 0.747], [0.982, 0.982, 0.982], [0.253, 0.253, 0.253], [0.518, 0.518, 0.518]],
  "vol_a3_per_cell": 86.75,
  "space_group": "R3m (160)"
}

Top of the stability list: *two*, leading by 366 meV/atom.

*one*
{
  "formula": "BaTaMo2",
  "functional": "PBE",
  "state": "optimized geometry",
  "lattice_angstrom": [[5.778, 0.003, 0.000], [2.968, 4.957, 0.000], [-4.373, -2.480, 2.847]],
  "species": ["Ta", "Ba", "Mo", "Mo"],
  "fractional_positions": [[0.500, 0.500, 0.000], [0.750, 0.250, 0.500], [0.250, 0.750, 0.500], [0.000, 0.000, 0.000]],
  "vol_a3_per_cell": 81.52,
  "space_group": "I-4m2 (119)"
}

*two*
{
  "formula": "BaTaMo2",
  "functional": "PBE",
  "state": "optimized geometry",
  "lattice_angstrom": [[-3.673, -2.217, -2.278], [-4.565, 1.493, 0.727], [-2.399, 2.296, -3.546]],
  "species": ["Mo", "Mo", "Ba", "Ta"],
  "fractional_positions": [[0.250, 0.250, 0.250], [0.750, 0.750, 0.750], [0.000, 0.000, 0.000], [0.500, 0.500, 0.500]],
  "vol_a3_per_cell": 81.07,
  "space_group": "Fm-3m (225)"
}

Top of the stability list: *two*, leading by 266 meV/atom.

*one*
{
  "formula": "BaTaMo2",
  "functional": "PBE",
  "state": "optimized geometry",
  "lattice_angstrom": [[-4.575, -0.764, -3.835], [2.297, -4.442, 2.624], [-2.002, -0.581, 2.018]],
  "species": ["Mo", "Mo", "Ba", "Ta"],
  "fractional_positions": [[0.000, 0.000, 0.000], [0.500, 0.000, 0.500], [0.500, 0.500, 0.000], [0.000, 0.500, 0.500]],
  "vol_a3_per_cell": 80.82,
  "space_group": "C2/m (12)"
}

*two*
{
  "formula": "BaTaMo2",
  "functional": "PBE",
  "state": "optimized geometry",
  "lattice_angstrom": [[-0.123, -1.196, -3.002], [3.207, -0.412, 0.033], [-1.047, -7.891, 3.188]],
  "species": ["Ba", "Ta", "Mo", "Mo"],
  "fractional_positions": [[0.500, 0.500, 0.761], [0.000, 0.000, 0.422], [0.000, 0.000, 0.078], [0.500, 0.500, 0.239]],
  "vol_a3_per_cell": 89.65,
  "space_group": "P4mm (99)"
}

Top of the stability list: *two*, leading by 569 meV/atom.